VASP calculation (GGA-PBE) on a relaxed structure of KTl3Sn.

Unit cell a=7.514 b=12.789 c=7.358 alpha=90.00 beta=90.00 gamma=90.00
Space group Cmcm (No. 63)
Inequivalent atoms, fractional coordinates:
K1 0.000 0.248 0.250 x4
Tl1 0.000 0.135 0.750 x4
Tl2 0.244 0.500 0.000 x8
Sn1 0.000 0.366 0.750 x4

Formation energy from the elements: -75 meV/atom
Calculated volume: 35.35 Å³ per atom
Relative energy among the computed polymorphs: 0.309 kcal/mol of atoms

***

VASP calculation (GGA-PBE) on a relaxed structure of KTlSn2.

Unit cell a=4.090 b=4.090 c=7.836 alpha=90.00 beta=90.00 gamma=90.00
Space group P4/mmm (No. 123)
Inequivalent atoms, fractional coordinates:
K1 0.000 0.000 0.000 x1
Tl1 0.000 0.000 0.500 x1
Sn1 0.500 0.500 0.308 x2

Formation energy from the elements: -62 meV/atom
Calculated volume: 32.76 Å³ per atom
Relative energy among the computed polymorphs: 0.410 kcal/mol of atoms

***

VASP calculation (GGA-PBE) on a relaxed structure of KTl6Sn2.

Unit cell a=5.224 b=5.224 c=10.988 alpha=90.00 beta=90.00 gamma=90.00
Space group P4/mmm (No. 123)
Inequivalent atoms, fractional coordinates:
K1 0.000 0.000 0.000 x1
Tl1 0.000 0.000 0.500 x1
Tl2 0.000 0.500 0.293 x4
Tl3 0.500 0.500 0.500 x1
Sn1 0.500 0.500 0.132 x2

Formation energy from the elements: -30 meV/atom
Calculated volume: 33.32 Å³ per atom

***

- What is the formation energy from the elements in the second record?
  -62 meV/atom

***

- Look up the calculated volume of the third one.
  33.32 Å³ per atom

***

- Which value of calculated volume does entry 2 give?
  32.76 Å³ per atom